# LiSiSn2 GGA-PBE relaxed
# - electronic total energy (eV per atom) = -3.8007
# - uncorrected formation energy (eV per atom) = 0.0349
data_LiSiSn2
_cell_length_a 8.120
_cell_length_b 8.120
_cell_length_c 5.829
_cell_angle_alpha 90.00
_cell_angle_beta 90.00
_cell_angle_gamma 90.00
_symmetry_space_group_name_H-M 'I -4 2 d'
_symmetry_Int_Tables_number 122
_symmetry_space_group_name_Hall 'I -4 2bw'
loop_
_atom_site_label
_atom_site_fract_x
_atom_site_fract_y
_atom_site_fract_z
Li1 0.000 0.000 0.000
Si1 0.000 0.000 0.500
Sn1 0.196 0.250 0.625